Record 1
The following is a PBE calculation of a relaxed structure of MgBiSeN2, from Alexandria.

## Properties
total DFT energy (no corrections)	-4.118	eV per atom
formation energy from raw total energies	5.020	eV per formula unit
N(E_F)	2.56	states/eV/f.u.
crystal system	tetragonal
mass density	6.0	g/cm3

Cell: 4.233 4.233 5.228 Å, 90.00 90.00 90.00°
Last column: magnetic moment on the atom in μB.
Fractional positions:
Mg (0.000, 0.000, 0.000)  -0.01
Bi (0.500, 0.500, 0.500)  -0.31
Se (0.000, 0.000, 0.500)  0.14
N (0.000, 0.500, 0.000)  1.09
N (0.500, 0.000, 0.000)  1.09

=====

Record 2
The following is a PBE calculation of a relaxed structure of MgSiBiN2, from Alexandria.

## Properties
total DFT energy (no corrections)	-4.666	eV per atom
formation energy from raw total energies	4.218	eV per formula unit
N(E_F)	3.28	states/eV/f.u.
crystal system	tetragonal
mass density	5.8	g/cm3

Cell: 3.745 5.877 3.745 Å, 90.00 90.00 90.00°
Last column: magnetic moment on the atom in μB.
Fractional positions:
Mg (0.500, 0.500, 0.500)  0.00
Si (0.000, 0.000, 0.000)  -0.01
Bi (0.000, 0.500, 0.000)  -0.04
N (0.000, 0.000, 0.500)  0.14
N (0.500, 0.000, 0.000)  0.14

=====

Record 3
The following is a PBE calculation of a relaxed structure of Mg4SnBiN, from Alexandria.

## Properties
total DFT energy (no corrections)	-3.537	eV per atom
formation energy from raw total energies	-2.172	eV per formula unit
N(E_F)	2.63	states/eV/f.u.
crystal system	orthorhombic
mass density	5.1	g/cm3

Cell: 6.156 6.140 8.220 Å, 90.00 111.99 90.00°
Fractional positions:
Mg (0.893, 0.250, 0.785)
Mg (0.391, 0.750, 0.782)
Mg (0.107, 0.750, 0.215)
Mg (0.609, 0.250, 0.218)
Mg (0.500, 0.500, 0.500)
Mg (0.000, 0.000, 0.500)
Mg (0.500, 0.000, 0.500)
Mg (0.000, 0.500, 0.500)
Sn (0.087, 0.250, 0.174)
Sn (0.913, 0.750, 0.826)
Bi (0.591, 0.750, 0.182)
Bi (0.409, 0.250, 0.818)
N (0.249, 0.750, 0.498)
N (0.751, 0.250, 0.502)

=====

Record 4
The following is a PBE calculation of a relaxed structure of Sr2MgBiN, from Alexandria.

## Properties
total DFT energy (no corrections)	-4.167	eV per atom
formation energy from raw total energies	-3.670	eV per formula unit
N(E_F)	0.45	states/eV/f.u.
crystal system	tetragonal
mass density	5.5	g/cm3

Cell: 5.383 5.383 4.368 Å, 90.00 90.00 90.00°
Fractional positions:
Sr (0.000, 0.500, 0.000)
Sr (0.500, 0.000, 0.000)
Mg (0.000, 0.000, 0.500)
Bi (0.500, 0.500, 0.500)
N (0.000, 0.000, 0.000)

=====

Record 5
The following is a PBE calculation of a relaxed structure of MgBiTeN2, from Alexandria.

## Properties
total DFT energy (no corrections)	-3.894	eV per atom
formation energy from raw total energies	5.798	eV per formula unit
N(E_F)	2.50	states/eV/f.u.
crystal system	tetragonal
mass density	5.9	g/cm3

Cell: 4.364 4.364 5.740 Å, 90.00 90.00 90.00°
Last column: magnetic moment on the atom in μB.
Fractional positions:
Mg (0.000, 0.000, 0.000)  -0.02
Te (0.000, 0.000, 0.500)  0.10
Bi (0.500, 0.500, 0.500)  -0.32
N (0.000, 0.500, 0.000)  1.14
N (0.500, 0.000, 0.000)  1.14

=====

Record 6
The following is a PBE calculation of a relaxed structure of MgBiTeN2, from Alexandria.

## Properties
total DFT energy (no corrections)	-3.854	eV per atom
formation energy from raw total energies	5.996	eV per formula unit
N(E_F)	3.75	states/eV/f.u.
crystal system	tetragonal
mass density	5.3	g/cm3

Cell: 4.323 4.323 6.498 Å, 90.00 90.00 90.00°
Last column: magnetic moment on the atom in μB.
Fractional positions:
Mg (0.500, 0.500, 0.500)  0.00
Te (0.000, 0.000, 0.500)  0.01
Bi (0.000, 0.000, 0.000)  -0.07
N (0.000, 0.500, 0.000)  0.56
N (0.500, 0.000, 0.000)  0.56

=====

Record 7
The following is a PBE calculation of a relaxed structure of MgBiTe2N, from Alexandria.

## Properties
total DFT energy (no corrections)	-3.562	eV per atom
formation energy from raw total energies	2.275	eV per formula unit
N(E_F)	2.46	states/eV/f.u.
crystal system	tetragonal
mass density	6.4	g/cm3

Cell: 5.703 5.703 4.007 Å, 90.00 90.00 90.00°
Last column: magnetic moment on the atom in μB.
Fractional positions:
Mg (0.000, 0.000, 0.000)  -0.01
Te (0.000, 0.500, 0.000)  0.07
Te (0.500, 0.000, 0.000)  0.07
Bi (0.500, 0.500, 0.500)  0.02
N (0.000, 0.000, 0.500)  1.08

=====

Record 8
The following is a PBE calculation of a relaxed structure of MgBiTe2N, from Alexandria.

## Properties
total DFT energy (no corrections)	-3.224	eV per atom
formation energy from raw total energies	3.965	eV per formula unit
N(E_F)	3.93	states/eV/f.u.
crystal system	tetragonal
mass density	5.4	g/cm3

Cell: 5.963 5.963 4.359 Å, 90.00 90.00 90.00°
Last column: magnetic moment on the atom in μB.
Fractional positions:
Mg (0.500, 0.500, 0.500)  -0.01
Te (0.000, 0.500, 0.000)  0.14
Te (0.500, 0.000, 0.000)  0.14
Bi (0.000, 0.000, 0.000)  -0.03
N (0.000, 0.000, 0.500)  0.67

=====

Record 9
The following is a PBE calculation of a relaxed structure of ThMgBi2N, from Alexandria.

## Properties
total DFT energy (no corrections)	-5.722	eV per atom
formation energy from raw total energies	-3.508	eV per formula unit
N(E_F)	1.17	states/eV/f.u.
crystal system	tetragonal
mass density	8.0	g/cm3

Cell: 4.004 4.004 17.871 Å, 90.00 90.00 90.00°
Fractional positions:
Th (0.500, 0.000, 0.566)
Th (0.000, 0.500, 0.434)
Mg (0.500, 0.000, 0.137)
Mg (0.000, 0.500, 0.863)
Bi (0.000, 0.500, 0.701)
Bi (0.000, 0.500, 0.058)
Bi (0.500, 0.000, 0.942)
Bi (0.500, 0.000, 0.299)
N (0.000, 0.000, 0.500)
N (0.500, 0.500, 0.500)

=====

Record 10
The following is a PBE calculation of a relaxed structure of Y2MgBiN, from Alexandria.

## Properties
total DFT energy (no corrections)	-6.163	eV per atom
formation energy from raw total energies	-4.087	eV per formula unit
N(E_F)	2.95	states/eV/f.u.
crystal system	tetragonal
mass density	6.6	g/cm3

Cell: 4.929 4.929 4.386 Å, 90.00 90.00 90.00°
Fractional positions:
Y (0.000, 0.500, 0.000)
Y (0.500, 0.000, 0.000)
Mg (0.000, 0.000, 0.500)
Bi (0.500, 0.500, 0.500)
N (0.000, 0.000, 0.000)

=====

Record 11
The following is a PBE calculation of a relaxed structure of YMg2BiN, from Alexandria.

## Properties
total DFT energy (no corrections)	-5.030	eV per atom
formation energy from raw total energies	-3.291	eV per formula unit
N(E_F)	2.81	states/eV/f.u.
crystal system	tetragonal
mass density	6.0	g/cm3

Cell: 4.490 4.490 4.915 Å, 90.00 90.00 90.00°
Fractional positions:
Y (0.000, 0.000, 0.500)
Mg (0.000, 0.500, 0.000)
Mg (0.500, 0.000, 0.000)
Bi (0.500, 0.500, 0.500)
N (0.000, 0.000, 0.000)

=====

Record 12
The following is a PBE calculation of a relaxed structure of Na2Mg2Bi, from Alexandria.

## Properties
total DFT energy (no corrections)	-1.854	eV per atom
N(E_F)	2.48	states/eV/f.u.
formation energy from the elements	0.09	eV per atom
crystal system	tetragonal
mass density	3.3	g/cm3

Cell: 4.108 4.108 9.571 Å, 77.61 77.61 90.00°
Fractional positions:
Na (0.405, 0.405, 0.189)
Na (0.595, 0.595, 0.811)
Mg (0.750, 0.250, 0.500)
Mg (0.250, 0.750, 0.500)
Bi (0.000, 0.000, 0.000)